[1]
4
Lattice="3.4283 0.0000 0.0000 0.0000 5.4628 0.0000 0.0000 0.0000 5.4628" Properties=species:S:1:pos:R:3 comment="Er2HfCd | the Alexandria database | PBE | relaxed" formation_enthalpy_0k_mev_per_atom=44 sg="No. 123" total_energy_ev_per_cell=-19.8 pbc="T T T"
Cd 1.7141 0.0000 0.0000
Hf 1.7141 2.7314 2.7314
Er 0.0000 0.0000 2.7314
Er 0.0000 2.7314 0.0000

***

[2]
6
Lattice="-1.6942 -1.9931 -2.1812 -1.5751 -1.5181 2.6105 -6.3078 5.8218 -0.4205" Properties=species:S:1:pos:R:3 comment="NdMnC | the Alexandria database | PBE | relaxed" formation_enthalpy_0k_mev_per_atom=-150 sg="No. 129" total_energy_ev_per_cell=-47.2 pbc="T T T"
Nd -2.1381 0.1950 -1.1767
Nd -5.8043 3.8712 0.9708
Mn -4.7885 1.1553 0.0044
Mn -3.1539 2.9109 -0.2103
C -4.8213 2.6714 -1.3556
C -3.1212 1.3948 1.1497

***

[3]
5
Lattice="4.7734 0.0000 0.0000 0.0000 4.7734 0.0000 0.0000 0.0000 4.7734" Properties=species:S:1:pos:R:3 comment="LaIF3 | the Alexandria database | PBE | relaxed" raw_formation_energy_ev_per_atom=-2.968 sg="No. 221" total_energy_ev_per_cell=-26.9 pbc="T T T"
I 2.3867 2.3867 2.3867
F 0.0000 2.3867 0.0000
F 0.0000 0.0000 2.3867
F 2.3867 0.0000 0.0000
La 0.0000 0.0000 0.0000

***

[4]
12
Lattice="0.2090 4.6273 -1.1922 -3.8559 0.5347 2.7785 4.1531 1.9739 6.2861" Properties=species:S:1:pos:R:3 comment="Nd2TcHgO8 | the Alexandria database | PBE | relaxed" raw_formation_energy_ev_per_atom=-1.846 sg="No. 12" total_energy_ev_per_cell=-82.0 pbc="T T T"
Nd 1.5217 3.7815 5.4547
Nd -1.0156 3.3545 2.4177
Tc 0.0000 0.0000 0.0000
Hg 2.0765 0.9870 3.1430
O -2.0984 1.2437 3.0139
O 1.2870 5.6082 7.0971
O 0.4556 3.8154 0.5186
O 2.6045 5.8922 4.8585
O -0.7809 1.5278 0.7753
O 0.0505 3.3206 7.3538
O -0.3859 4.5914 4.3372
O 0.8920 2.5445 3.5352